[1]
Compound: Th2NiAu
Source: Alexandria via LeMat-Bulk
Functional: PBE
Structure: relaxed

Summary:
Size of the total moment in μB/atom: 0.00
SG: No. 11
Calculated volume in Å³ per cell: 194.36
Crystal system: monoclinic
DOS at the Fermi energy in states/eV per atom: 0.92
Energy of formation from the pure elements in eV per atom: -0.492

a = 6.0649 Å, b = 4.3474 Å, c = 7.9346 Å
α = 90.00°, β = 111.72°, γ = 90.00°
With the nearest neighbours (Å) after each atom.
Element x y z (fractional)
Th: 0.2027 0.2500 0.4376  3 Ni 2.97-3.00, 3 Au 3.10-3.11
Th: 0.2218 0.2500 0.9173  3 Ni 2.93-3.18, 4 Au 3.09-3.19
Th: 0.7782 0.7500 0.0827  3 Ni 2.93-3.18, 4 Au 3.09-3.19
Th: 0.7973 0.7500 0.5624  3 Ni 2.97-3.00, 3 Au 3.10-3.11
Ni: 0.3297 0.7500 0.7129  2 Au 2.86, 6 Th 2.93-3.18
Ni: 0.6703 0.2500 0.2871  2 Au 2.86, 6 Th 2.93-3.18
Au: 0.3426 0.7500 0.2141  2 Ni 2.86, 7 Th 3.09-3.19
Au: 0.6574 0.2500 0.7859  2 Ni 2.86, 7 Th 3.09-3.19

=====

[2]
Compound: Tb5Nd2Cd
Source: Alexandria via LeMat-Bulk
Functional: PBE
Structure: relaxed

Summary:
Size of the total moment in μB/atom: 0.00
SG: No. 139
Calculated volume in Å³ per cell: 498.19
Crystal system: tetragonal
DOS at the Fermi energy in states/eV per atom: 0.98
Energy of formation from the pure elements in eV per atom: -0.029

a = 7.0238 Å, b = 7.0238 Å, c = 10.0984 Å
α = 90.00°, β = 90.00°, γ = 90.00°
With the nearest neighbours (Å) after each atom.
Element x y z (fractional)
Tb: 0.0000 0.0000 0.0000  4 Nd 3.51, 8 Tb 3.54
Tb: 0.2500 0.2500 0.2500  6 Tb 3.51-3.54, 2 Cd 3.54, 4 Nd 3.54
Tb: 0.2500 0.2500 0.7500  6 Tb 3.51-3.54, 2 Cd 3.54, 4 Nd 3.54
Tb: 0.2500 0.7500 0.2500  6 Tb 3.51-3.54, 2 Cd 3.54, 4 Nd 3.54
Tb: 0.2500 0.7500 0.7500  6 Tb 3.51-3.54, 2 Cd 3.54, 4 Nd 3.54
Tb: 0.5000 0.5000 0.5000  4 Nd 3.51, 8 Tb 3.54
Tb: 0.7500 0.2500 0.2500  6 Tb 3.51-3.54, 2 Cd 3.54, 4 Nd 3.54
Tb: 0.7500 0.2500 0.7500  6 Tb 3.51-3.54, 2 Cd 3.54, 4 Nd 3.54
Tb: 0.7500 0.7500 0.2500  6 Tb 3.51-3.54, 2 Cd 3.54, 4 Nd 3.54
Tb: 0.7500 0.7500 0.7500  6 Tb 3.51-3.54, 2 Cd 3.54, 4 Nd 3.54
Nd: 0.0000 0.5000 0.0000  2 Cd 3.51, 10 Tb 3.51-3.54
Nd: 0.0000 0.5000 0.5000  10 Tb 3.51-3.54, 2 Cd 3.51
Nd: 0.5000 0.0000 0.0000  2 Cd 3.51, 10 Tb 3.51-3.54
Nd: 0.5000 0.0000 0.5000  10 Tb 3.51-3.54, 2 Cd 3.51
Cd: 0.0000 0.0000 0.5000  4 Nd 3.51, 8 Tb 3.54
Cd: 0.5000 0.5000 0.0000  4 Nd 3.51, 8 Tb 3.54